No. 1
DFT (SCAN) results for MgC2SeS at its PBEsol-relaxed geometry.

Lattice parameters (Å, degrees): 4.0307 4.0307 5.2306 90.00 90.00 90.00
Space group P4/mmm (No. 123)
Inequivalent atoms, fractional coordinates:
1 Mg 0.0000 0.0000 0.0000 (multiplicity 1)
2 C 0.0000 0.5000 0.0000 (multiplicity 2)
3 Se 0.0000 0.0000 0.5000 (multiplicity 1)
4 S 0.5000 0.5000 0.5000 (multiplicity 1)

## Properties
As for the crystal system: tetragonal. For the density of states at the Fermi level, the calculation gives 4.4 states/eV/f.u. The raw total energy is -8.59 eV/atom. The formation energy from raw total energies comes out at 2.38 eV/atom.

No. 2
DFT (SCAN) results for TePd3W at its PBEsol-relaxed geometry.

Lattice parameters (Å, degrees): 4.7784 4.7784 4.7784 90.00 90.00 90.00
Space group Pm-3m (No. 221)
Inequivalent atoms, fractional coordinates:
1 Te 0.0000 0.0000 0.0000 (multiplicity 1)
2 Pd 0.0000 0.5000 0.5000 (multiplicity 3)
3 W 0.5000 0.5000 0.5000 (multiplicity 1)

## Properties
As for the crystal system: cubic. For the density of states at the Fermi level, the calculation gives 5.3 states/eV/f.u. The raw total energy is -39.93 eV/atom. The formation energy from raw total energies comes out at 1.13 eV/atom.

No. 3
DFT (SCAN) results for BeO at its PBEsol-relaxed geometry.

Lattice parameters (Å, degrees): 4.6126 4.6126 2.6910 90.00 90.00 90.00
Space group P4_2/mnm (No. 136)
Inequivalent atoms, fractional coordinates:
1 Be 0.1733 0.1733 0.0000 (multiplicity 4)
2 O 0.1888 0.8112 0.0000 (multiplicity 4)

## Properties
The offset from the most stable computed form is 16 meV per atom. As for the crystal system: tetragonal. For the density of states at the Fermi level, the calculation gives 0.0 states/eV/f.u. The raw total energy is -8.30 eV/atom. The formation energy from raw total energies comes out at -3.01 eV/atom.

No. 4
DFT (SCAN) results for TiBCl2 at its PBEsol-relaxed geometry.

Lattice parameters (Å, degrees): 9.2396 9.2396 4.3364 90.00 90.00 90.00
Space group I-42d (No. 122)
Inequivalent atoms, fractional coordinates:
1 Ti 0.0000 0.0000 0.0000 (multiplicity 4)
2 B 0.0000 0.0000 0.5000 (multiplicity 4)
3 Cl 0.0013 0.7500 0.1250 (multiplicity 8)

## Properties
As for the crystal system: tetragonal. For the density of states at the Fermi level, the calculation gives 3.3 states/eV/f.u. The raw total energy is -9.96 eV/atom. The formation energy from raw total energies comes out at -0.11 eV/atom.

No. 5
DFT (SCAN) results for CaLaMnNbO6 at its PBEsol-relaxed geometry.

Lattice parameters (Å, degrees): 5.5343 5.7397 9.6368 90.00 124.82 90.00
Space group Pc (No. 7)
Inequivalent atoms, fractional coordinates:
1 Ca 0.0000 0.1946 0.0000 (multiplicity 2)
2 La 0.5310 0.3027 0.5037 (multiplicity 2)
3 Mn 0.7682 0.2487 0.2513 (multiplicity 2)
4 Nb 0.2685 0.2453 0.7532 (multiplicity 2)
5 O 0.0205 0.4628 0.1942 (multiplicity 2)
6 O 0.1205 0.2104 0.5078 (multiplicity 2)
7 O 0.4045 0.2837 0.9941 (multiplicity 2)
8 O 0.5150 0.0420 0.3063 (multiplicity 2)
9 O 0.6103 0.4389 0.8006 (multiplicity 2)
10 O 0.9246 0.0509 0.7005 (multiplicity 2)

## Properties
As for the crystal system: monoclinic. The raw total energy is -17.24 eV/atom. The formation energy from raw total energies comes out at -3.08 eV/atom.

No. 6
DFT (SCAN) results for KTlSi2 at its PBEsol-relaxed geometry.

Lattice parameters (Å, degrees): 3.8093 3.8093 7.0924 90.00 90.00 90.00
Space group P4/mmm (No. 123)
Inequivalent atoms, fractional coordinates:
1 K 0.0000 0.0000 0.0000 (multiplicity 1)
2 Tl 0.0000 0.0000 0.5000 (multiplicity 1)
3 Si 0.5000 0.5000 0.3342 (multiplicity 2)

## Properties
The offset from the most stable computed form is 0 meV per atom. As for the crystal system: tetragonal. For the density of states at the Fermi level, the calculation gives 0.8 states/eV/f.u. The raw total energy is -24.85 eV/atom. The formation energy from raw total energies comes out at 0.33 eV/atom.

No. 7
DFT (SCAN) results for Be2FeW2 at its PBEsol-relaxed geometry.

Lattice parameters (Å, degrees): 5.8316 5.8316 3.2907 90.00 90.00 90.00
Space group P4/mbm (No. 127)
Inequivalent atoms, fractional coordinates:
1 Be 0.1236 0.3764 0.0000 (multiplicity 4)
2 Fe 0.0000 0.0000 0.0000 (multiplicity 2)
3 W 0.1750 0.6750 0.5000 (multiplicity 4)

## Properties
As for the crystal system: tetragonal. For the density of states at the Fermi level, the calculation gives 2.3 states/eV/f.u. The raw total energy is -33.31 eV/atom. The calculation puts the formation energy at -0.07 eV per atom.

No. 8
DFT (SCAN) results for CuRuBr2 at its PBEsol-relaxed geometry.

Lattice parameters (Å, degrees): 6.6449 6.6449 6.6449 90.00 90.00 90.00
Space group F-43m (No. 216)
Inequivalent atoms, fractional coordinates:
1 Cu 0.0000 0.0000 0.0000 (multiplicity 4)
2 Ru 0.2500 0.2500 0.2500 (multiplicity 4)
3 Br 0.0000 0.0000 0.5000 (multiplicity 4)
4 Br 0.2500 0.2500 0.7500 (multiplicity 4)

## Properties
As for the crystal system: cubic. For the density of states at the Fermi level, the calculation gives 2.7 states/eV/f.u. The raw total energy is -21.10 eV/atom. The formation energy from raw total energies comes out at 1.14 eV/atom.

No. 9
DFT (SCAN) results for TlRe2Se at its PBEsol-relaxed geometry.

Lattice parameters (Å, degrees): 3.0241 4.6034 9.9105 90.00 90.00 90.00
Space group Imm2 (No. 44)
Inequivalent atoms, fractional coordinates:
1 Tl 0.0000 0.0000 0.0000 (multiplicity 2)
2 Re 0.0000 0.0000 0.4951 (multiplicity 2)
3 Re 0.0000 0.5000 0.2132 (multiplicity 2)
4 Se 0.0000 0.5000 0.7791 (multiplicity 2)

## Properties
The offset from the most stable computed form is 321 meV per atom. As for the crystal system: orthorhombic. For the density of states at the Fermi level, the calculation gives 2.1 states/eV/f.u. The raw total energy is -57.63 eV/atom. The formation energy from raw total energies comes out at 1.02 eV/atom.

No. 10
DFT (SCAN) results for AgPt2 at its PBEsol-relaxed geometry.

Lattice parameters (Å, degrees): 7.3597 7.3597 7.3597 90.00 90.00 90.00
Space group Fd-3m (No. 227, origin choice 2)
Inequivalent atoms, fractional coordinates:
1 Ag 0.1250 0.1250 0.1250 (multiplicity 8)
2 Pt 0.0000 0.0000 0.5000 (multiplicity 16)

## Properties
The offset from the most stable computed form is 0 meV per atom. As for the crystal system: cubic. For the density of states at the Fermi level, the calculation gives 0.8 states/eV/f.u. The raw total energy is -57.25 eV/atom. The calculation puts the formation energy at 0.00 eV per atom.

No. 11
DFT (SCAN) results for KNaICl at its PBEsol-relaxed geometry.

Lattice parameters (Å, degrees): 4.4225 4.4225 6.6782 90.00 90.00 90.00
Space group P4/mmm (No. 123)
Inequivalent atoms, fractional coordinates:
1 K 0.0000 0.0000 0.0000 (multiplicity 1)
2 Na 0.5000 0.5000 0.5000 (multiplicity 1)
3 I 0.0000 0.0000 0.5000 (multiplicity 1)
4 Cl 0.5000 0.5000 0.0000 (multiplicity 1)

## Properties
As for the crystal system: tetragonal. For the density of states at the Fermi level, the calculation gives 0.0 states/eV/f.u. The raw total energy is -16.08 eV/atom. The formation energy from raw total energies comes out at -1.76 eV/atom.

No. 12
DFT (SCAN) results for BeTcAs3 at its PBEsol-relaxed geometry.

Lattice parameters (Å, degrees): 4.3466 4.3466 4.3466 90.00 90.00 90.00
Space group Pm-3m (No. 221)
Inequivalent atoms, fractional coordinates:
1 Be 0.0000 0.0000 0.0000 (multiplicity 1)
2 Tc 0.5000 0.5000 0.5000 (multiplicity 1)
3 As 0.0000 0.0000 0.5000 (multiplicity 3)

## Properties
As for the crystal system: cubic. For the density of states at the Fermi level, the calculation gives 3.4 states/eV/f.u. The raw total energy is -19.09 eV/atom. The calculation puts the formation energy at 0.90 eV per atom.

No. 13
DFT (SCAN) results for LiMnRe2 at its PBEsol-relaxed geometry.

Lattice parameters (Å, degrees): 2.9322 4.2648 8.3234 90.00 90.00 90.00
Space group Immm (No. 71)
Inequivalent atoms, fractional coordinates:
1 Li 0.0000 0.0000 0.0000 (multiplicity 2)
2 Mn 0.0000 0.0000 0.5000 (multiplicity 2)
3 Re 0.0000 0.5000 0.2415 (multiplicity 4)

## Properties
As for the crystal system: orthorhombic. For the density of states at the Fermi level, the calculation gives 2.7 states/eV/f.u. The raw total energy is -40.58 eV/atom. The calculation puts the formation energy at 0.13 eV per atom.

No. 14
DFT (SCAN) results for NaTe3Ru at its PBEsol-relaxed geometry.

Lattice parameters (Å, degrees): 5.2620 5.2620 5.2620 90.00 90.00 90.00
Space group Pm-3m (No. 221)
Inequivalent atoms, fractional coordinates:
1 Na 0.0000 0.0000 0.0000 (multiplicity 1)
2 Te 0.0000 0.0000 0.5000 (multiplicity 3)
3 Ru 0.5000 0.5000 0.5000 (multiplicity 1)

## Properties
As for the crystal system: cubic. For the density of states at the Fermi level, the calculation gives 3.7 states/eV/f.u. The raw total energy is -28.85 eV/atom. The formation energy from raw total energies comes out at 1.30 eV/atom.